(1)
## Rb3TePt (PBE)

Data for a relaxed Rb3TePt crystal.

abc: 6.2562 6.2562 6.2562
angles: 90.00 90.00 90.00
Last column: nearest neighbours and their distance in Å.
Fractional positions:
Rb (0.0000, 0.0000, 0.5000)  2 Pt 3.13
Rb (0.0000, 0.5000, 0.0000)  2 Pt 3.13
Rb (0.5000, 0.0000, 0.0000)  2 Pt 3.13
Te (0.5000, 0.5000, 0.5000)  12 Rb 4.42
Pt (0.0000, 0.0000, 0.0000)  6 Rb 3.13

Calculated values
As for the distance to the lowest polymorph of the same formula: 0.000 eV/f.u. The value obtained for the uncorrected formation energy is -130 meV/atom.

---

(2)
## Cs8BiAu2Cl (PBE)

Data for a relaxed Cs8BiAu2Cl crystal.

abc: 8.6952 10.9107 8.7209
angles: 90.00 90.38 90.00
Last column: nearest neighbours and their distance in Å.
Fractional positions:
Cs (0.2039, 0.0000, 0.3171)  2 Au 3.73, 1 Bi 3.79
Cs (0.2176, 0.5000, 0.2928)  1 Cl 3.55, 2 Au 3.69
Cs (0.2945, 0.2647, 0.8083)  1 Cl 3.54, 1 Au 3.70, 1 Bi 3.78
Cs (0.2945, 0.7353, 0.8083)  1 Cl 3.54, 1 Au 3.70, 1 Bi 3.78
Cs (0.7055, 0.2647, 0.1917)  1 Cl 3.54, 1 Au 3.70, 1 Bi 3.78
Cs (0.7055, 0.7353, 0.1917)  1 Cl 3.54, 1 Au 3.70, 1 Bi 3.78
Cs (0.7824, 0.5000, 0.7072)  1 Cl 3.55, 2 Au 3.69
Cs (0.7961, 0.0000, 0.6829)  2 Au 3.73, 1 Bi 3.79
Bi (0.5000, 0.0000, 0.0000)  6 Cs 3.78-3.79
Au (0.0000, 0.2627, 0.5000)  6 Cs 3.69-3.73
Au (0.0000, 0.7373, 0.5000)  6 Cs 3.69-3.73
Cl (0.5000, 0.5000, 0.0000)  6 Cs 3.54-3.55

Calculated values
The value obtained for the uncorrected formation energy is -513 meV/atom.

---

(3)
## PmNd2Sm4Th (PBE)

Data for a relaxed PmNd2Sm4Th crystal.

abc: 6.3011 3.6436 12.0490
angles: 90.00 100.24 90.00
Last column: nearest neighbours and their distance in Å.
Fractional positions:
Pm (0.0000, 0.0000, 0.0000)  4 Nd 3.64, 6 Sm 3.64-3.67, 2 Pm 3.64
Nd (0.5000, 0.0000, 0.5000)  6 Sm 3.61-3.62, 4 Th 3.64, 2 Nd 3.64
Nd (0.5000, 0.5000, 0.0000)  4 Pm 3.64, 2 Nd 3.64, 6 Sm 3.67-3.69
Sm (0.2425, 0.0000, 0.7450)  2 Th 3.57, 6 Sm 3.59-3.69, 3 Nd 3.61-3.69, 1 Pm 3.67
Sm (0.2469, 0.5000, 0.2517)  6 Sm 3.59-3.69, 1 Th 3.61, 3 Nd 3.62-3.67, 2 Pm 3.64
Sm (0.7531, 0.5000, 0.7483)  6 Sm 3.59-3.69, 1 Th 3.61, 3 Nd 3.62-3.67, 2 Pm 3.64
Sm (0.7575, 0.0000, 0.2550)  2 Th 3.57, 6 Sm 3.59-3.69, 3 Nd 3.61-3.69, 1 Pm 3.67
Th (0.0000, 0.5000, 0.5000)  6 Sm 3.57-3.61, 4 Nd 3.64, 2 Th 3.64

Calculated values
The value obtained for the total energy is -5.045 eV per atom.

---

(4)
## Zr2AlFe6 (PBE)

Data for a relaxed Zr2AlFe6 crystal.

abc: 7.5296 7.5296 2.6262
angles: 90.00 90.00 120.00
Last column: nearest neighbours and their distance in Å.
Fractional positions:
Zr (0.3333, 0.6667, 0.0000)  2 Zr 2.63, 9 Fe 2.66-2.84
Zr (0.6667, 0.3333, 0.0000)  2 Zr 2.63, 9 Fe 2.66-2.84
Al (0.0000, 0.0000, 0.5000)  9 Fe 2.50-2.59, 2 Al 2.63
Fe (0.0000, 0.2957, 0.0000)  2 Al 2.59, 6 Fe 2.63-2.72, 2 Zr 2.66
Fe (0.0000, 0.6675, 0.5000)  1 Al 2.50, 6 Fe 2.63-2.72
Fe (0.2957, 0.0000, 0.0000)  2 Al 2.59, 6 Fe 2.63-2.72, 2 Zr 2.66
Fe (0.3325, 0.3325, 0.5000)  1 Al 2.50, 6 Fe 2.63-2.72
Fe (0.6675, 0.0000, 0.5000)  1 Al 2.50, 6 Fe 2.63-2.72
Fe (0.7043, 0.7043, 0.0000)  2 Al 2.59, 6 Fe 2.63-2.72, 2 Zr 2.66

Calculated values
The value obtained for the total energy is -7.799 eV per atom.

---

(5)
## Li3Al2Zn7 (PBE)

Data for a relaxed Li3Al2Zn7 crystal.

abc: 9.0510 9.0510 9.0510
angles: 33.15 33.15 33.15
Last column: nearest neighbours and their distance in Å.
Fractional positions:
Li (0.0000, 0.0000, 0.0000)  6 Al 2.98
Li (0.1458, 0.1458, 0.1458)  12 Zn 2.97-3.03, 3 Li 3.17
Li (0.8542, 0.8542, 0.8542)  12 Zn 2.97-3.03, 3 Li 3.17
Al (0.3336, 0.3336, 0.3336)  6 Zn 2.67-2.68, 3 Li 2.98, 3 Al 2.98
Al (0.6664, 0.6664, 0.6664)  6 Zn 2.67-2.68, 3 Li 2.98, 3 Al 2.98
Zn (0.0820, 0.5890, 0.5890)  5 Zn 2.55-2.62, 2 Al 2.67-2.68
Zn (0.4110, 0.4110, 0.9180)  5 Zn 2.55-2.62, 2 Al 2.67-2.68
Zn (0.4110, 0.9180, 0.4110)  5 Zn 2.55-2.62, 2 Al 2.67-2.68
Zn (0.5000, 0.5000, 0.5000)  6 Zn 2.55
Zn (0.5890, 0.0820, 0.5890)  5 Zn 2.55-2.62, 2 Al 2.67-2.68
Zn (0.5890, 0.5890, 0.0820)  5 Zn 2.55-2.62, 2 Al 2.67-2.68
Zn (0.9180, 0.4110, 0.4110)  5 Zn 2.55-2.62, 2 Al 2.67-2.68

Calculated values
The value obtained for the total energy is -1.958 eV per atom.

---

(6)
## Cu4C5 (PBE)

Data for a relaxed Cu4C5 crystal.

abc: 5.4944 5.4944 7.0625
angles: 90.00 90.00 120.00
Last column: nearest neighbours and their distance in Å.
Fractional positions:
Cu (0.0000, 0.0000, 0.0000)  6 C 1.97
Cu (0.0000, 0.0000, 0.5000)  6 C 1.97
Cu (0.0000, 0.5003, 0.2500)  1 C 1.88
Cu (0.0000, 0.4997, 0.7500)  1 C 1.88
Cu (0.5003, 0.0000, 0.2500)  1 C 1.88
Cu (0.4997, 0.0000, 0.7500)  1 C 1.88
Cu (0.4997, 0.4997, 0.2500)  1 C 1.88
Cu (0.5003, 0.5003, 0.7500)  1 C 1.88
C (0.0000, 0.1583, 0.2500)  2 C 1.51
C (0.0000, 0.8417, 0.7500)  2 C 1.51
C (0.1583, 0.0000, 0.2500)  2 C 1.51
C (0.1583, 0.1583, 0.7500)  2 C 1.51
C (0.3333, 0.6667, 0.0000)  6 Cu 2.37
C (0.3333, 0.6667, 0.5000)  6 Cu 2.37
C (0.6667, 0.3333, 0.0000)  6 Cu 2.37
C (0.6667, 0.3333, 0.5000)  6 Cu 2.37
C (0.8417, 0.0000, 0.7500)  2 C 1.51
C (0.8417, 0.8417, 0.2500)  2 C 1.51

Calculated values
As for the distance to the lowest polymorph of the same formula: 4.993 eV/f.u.

---

(7)
## TbSb3 (PBE)

Data for a relaxed TbSb3 crystal.

abc: 4.7736 4.7736 4.7736
angles: 90.00 90.00 90.00
Last column: nearest neighbours and their distance in Å.
Fractional positions:
Tb (0.0000, 0.0000, 0.0000)  12 Sb 3.38
Sb (0.0000, 0.5000, 0.5000)  8 Sb 3.38, 4 Tb 3.38
Sb (0.5000, 0.0000, 0.5000)  8 Sb 3.38, 4 Tb 3.38
Sb (0.5000, 0.5000, 0.0000)  8 Sb 3.38, 4 Tb 3.38

Calculated values
As for the distance to the lowest polymorph of the same formula: 0.424 eV/f.u. The value obtained for the uncorrected formation energy is -384 meV/atom.

---

| no. | magnetization (μB/cell) |
| --- | --- |
| 1 | 0.99 |
| 2 | 0.01 |
| 3 | 0.00 |
| 4 | 12.86 |
| 5 | 0.00 |
| 6 | 0.00 |
| 7 | 0.00 |